Below is a relaxed Zn3As2 crystal, with properties calculated at the PBE level.

POSCAR file:
```
Zn3As2
1.0
8.4579 0.0000 0.0000
0.0000 8.4579 0.0000
0.0000 0.0000 11.8368
As Zn
16 24
direct
0.0000 0.0000 0.2484
0.5000 0.5000 0.7484
0.5000 0.5000 0.2516
0.0000 0.0000 0.7516
0.0000 0.5000 0.2466
0.0000 0.5000 0.7466
0.5000 0.0000 0.2534
0.5000 0.0000 0.7534
0.2514 0.2514 0.0000
0.7486 0.7486 0.0000
0.2486 0.7514 0.5000
0.7514 0.2486 0.5000
0.2486 0.2486 0.5000
0.7514 0.7514 0.5000
0.2514 0.7486 0.0000
0.7486 0.2514 0.0000
0.0000 0.2222 0.1116
0.0000 0.7778 0.1116
0.2778 0.5000 0.6116
0.7222 0.5000 0.6116
0.5000 0.7222 0.3884
0.5000 0.2778 0.3884
0.2222 0.0000 0.8884
0.7778 0.0000 0.8884
0.0000 0.2795 0.3871
0.0000 0.7205 0.3871
0.2205 0.5000 0.8871
0.7795 0.5000 0.8871
0.5000 0.7795 0.1129
0.5000 0.2205 0.1129
0.2795 0.0000 0.6129
0.7205 0.0000 0.6129
0.0000 0.2474 0.6452
0.0000 0.7526 0.6452
0.2526 0.5000 0.1452
0.7474 0.5000 0.1452
0.5000 0.7474 0.8548
0.5000 0.2526 0.8548
0.2474 0.0000 0.3548
0.7526 0.0000 0.3548
```

Calculated values
The total energy is -2.76 eV/atom. As for the spin magnetization: 0.00 μB per formula unit. The formation energy comes out at -0.138 eV/atom.